# 1
# PBE Na2BeCuB, relaxed
# Calculated formation energy   6.648 eV per formula unit
# Uncorrected energy   -10.49 eV for the cell shown
data_Na2BeCuB
_symmetry_space_group_name_H-M 'P 4/m m m'
_symmetry_Int_Tables_number 123
_symmetry_space_group_name_Hall '-P 4 2'
_cell_length_a 5.111
_cell_length_b 5.111
_cell_length_c 4.086
_cell_angle_alpha 90.00
_cell_angle_beta 90.00
_cell_angle_gamma 90.00
loop_
_atom_site_label
_atom_site_fract_x
_atom_site_fract_y
_atom_site_fract_z
Na1 0.000 0.500 0.000
Be1 0.000 0.000 0.000
Cu1 0.000 0.000 0.500
B1 0.500 0.500 0.500

=====

# 2
# PBE YIrW2, relaxed
# Calculated formation energy   1.061 eV per formula unit
# Uncorrected energy   -40.17 eV for the cell shown
data_YIrW2
_symmetry_space_group_name_H-M 'P 4/m m m'
_symmetry_Int_Tables_number 123
_symmetry_space_group_name_Hall '-P 4 2'
_cell_length_a 2.848
_cell_length_b 2.848
_cell_length_c 8.857
_cell_angle_alpha 90.00
_cell_angle_beta 90.00
_cell_angle_gamma 90.00
loop_
_atom_site_label
_atom_site_fract_x
_atom_site_fract_y
_atom_site_fract_z
Y1 0.000 0.000 0.000
Ir1 0.000 0.000 0.500
W1 0.500 0.500 0.284

=====

# 3
# PBE Mg2CoCuC, relaxed
# Calculated formation energy   0.690 eV per formula unit
# Uncorrected energy   -22.93 eV for the cell shown
data_Mg2CoCuC
_symmetry_space_group_name_H-M 'P 4/m m m'
_symmetry_Int_Tables_number 123
_symmetry_space_group_name_Hall '-P 4 2'
_cell_length_a 4.381
_cell_length_b 4.381
_cell_length_c 3.591
_cell_angle_alpha 90.00
_cell_angle_beta 90.00
_cell_angle_gamma 90.00
loop_
_atom_site_label
_atom_site_fract_x
_atom_site_fract_y
_atom_site_fract_z
Mg1 0.000 0.500 0.000
Co1 0.000 0.000 0.500
Cu1 0.500 0.500 0.500
C1 0.000 0.000 0.000

=====

# 4
# PBE Ac4TbHo2, relaxed
# Calculated formation energy   0.869 eV per formula unit
# Uncorrected energy   -117.40 eV for the cell shown
data_Ac4TbHo2
_symmetry_space_group_name_H-M 'C 1 c 1'
_symmetry_Int_Tables_number 9
_cell_length_a 6.716
_cell_length_b 12.829
_cell_length_c 13.144
_cell_angle_alpha 90.00
_cell_angle_beta 104.78
_cell_angle_gamma 90.00
loop_
_symmetry_equiv_pos_as_xyz
'x,y,z'
'x,-y,z+1/2'
'x+1/2,y+1/2,z'
'x+1/2,-y+1/2,z+1/2'
loop_
_atom_site_label
_atom_site_fract_x
_atom_site_fract_y
_atom_site_fract_z
Ac1 0.000 0.059 0.000
Ac2 0.054 0.425 0.652
Ac3 0.195 0.323 0.929
Ac4 0.292 0.190 0.582
Tb1 0.126 0.125 0.291
Ho1 0.383 0.352 0.225
Ho2 0.449 0.100 0.856

=====

# 5
# PBE Cr2CuMo, relaxed
# Calculated formation energy   1.350 eV per formula unit
# Uncorrected energy   -32.82 eV for the cell shown
data_Cr2CuMo
_symmetry_space_group_name_H-M 'P 4 m m'
_symmetry_Int_Tables_number 99
_cell_length_a 2.500
_cell_length_b 2.500
_cell_length_c 8.346
_cell_angle_alpha 90.00
_cell_angle_beta 90.00
_cell_angle_gamma 90.00
loop_
_symmetry_equiv_pos_as_xyz
'x,y,z'
'-y,x,z'
'-x,-y,z'
'y,-x,z'
'-x,y,z'
'y,x,z'
'x,-y,z'
'-y,-x,z'
loop_
_atom_site_label
_atom_site_fract_x
_atom_site_fract_y
_atom_site_fract_z
Cr1 0.000 0.000 0.000
Cr2 0.500 0.500 0.241
Cu1 0.000 0.000 0.475
Mo1 0.500 0.500 0.735

=====

# 6
# PBE MgAl2As, relaxed
# Calculated formation energy   -0.256 eV per formula unit
# Uncorrected energy   -55.94 eV for the cell shown
data_MgAl2As
_symmetry_space_group_name_H-M 'I -4 2 d'
_symmetry_Int_Tables_number 122
_symmetry_space_group_name_Hall 'I -4 2bw'
_cell_length_a 7.716
_cell_length_b 7.716
_cell_length_c 5.475
_cell_angle_alpha 90.00
_cell_angle_beta 90.00
_cell_angle_gamma 90.00
loop_
_atom_site_label
_atom_site_fract_x
_atom_site_fract_y
_atom_site_fract_z
Mg1 0.000 0.000 0.000
Al1 0.204 0.250 0.625
As1 0.000 0.000 0.500

=====

Question: Which value of calculated formation energy does entry 1 give?
Answer: 6.648 eV per formula unit

=====

Question: Which value of calculated formation energy does entry 3 give?
Answer: 0.690 eV per formula unit